An optimized crystal structure of VCdNi. Source: Alexandria, functional GGA-PBE.

## Properties
- Volume: 89.51 Å³ per cell
- ΔH_f (0 K): 0.106 eV/atom
- Symmetry: Cmcm
- Relative energy among the computed polymorphs: 3 meV per atom
- Density of states at the Fermi level: 3.45 states/eV/cell

Unit cell a=5.5484 b=5.5484 c=4.2008 alpha=90.00 beta=90.00 gamma=136.20
Closest atoms and distances in Å follow each position.
Fractional coordinates of all 6 atoms:
1 V 0.0456 0.9544 0.7500  2 V 2.30, 2 Ni 2.40
2 V 0.9544 0.0456 0.2500  2 V 2.30, 2 Ni 2.40
3 Cd 0.2511 0.7489 0.2500  4 Ni 2.77-2.78, 5 V 2.94-3.05, 4 Cd 2.95
4 Cd 0.7489 0.2511 0.7500  4 Ni 2.77-2.78, 5 V 2.94-3.05, 4 Cd 2.95
5 Ni 0.4282 0.5718 0.7500  2 V 2.40, 2 Ni 2.57
6 Ni 0.5718 0.4282 0.2500  2 V 2.40, 2 Ni 2.57


An optimized crystal structure of CaThIr. Source: Alexandria, functional GGA-PBE.

## Properties
- Volume: 85.66 Å³ per cell
- ΔH_f (0 K): -0.439 eV/atom
- Symmetry: I4mm
- Relative energy among the computed polymorphs: 179 meV per atom
- Density of states at the Fermi level: 2.43 states/eV/cell

Unit cell a=7.0745 b=7.0745 c=7.0745 alpha=150.50 beta=150.50 gamma=42.21
Closest atoms and distances in Å follow each position.
Fractional coordinates of all 3 atoms:
1 Ca 0.0000 0.0000 0.0000  4 Ir 3.23, 1 Th 3.36, 4 Ca 3.60
2 Th 0.2543 0.2543 0.0000  4 Ir 2.89
3 Ir 0.6508 0.6508 0.0000  4 Th 2.89, 4 Ca 3.23


An optimized crystal structure of InCo2Pt. Source: Alexandria, functional GGA-PBE.

## Properties
- Volume: 133.86 Å³ per cell
- ΔH_f (0 K): 0.316 eV/atom
- Symmetry: I-42d
- Density of states at the Fermi level: 7.08 states/eV/cell

Unit cell a=9.6019 b=9.6019 c=9.6019 alpha=157.11 beta=157.11 gamma=32.60
Closest atoms and distances in Å follow each position.
Fractional coordinates of all 8 atoms:
1 In 0.0000 0.0000 0.0000  4 Pt 2.69, 4 Co 2.79
2 In 0.7500 0.2500 0.5000  4 Pt 2.69, 4 Co 2.79
3 Co 0.2028 0.6250 0.0778  2 Co 2.31, 2 Pt 2.58
4 Co 0.3750 0.4528 0.5778  2 Co 2.31, 2 Pt 2.58
5 Co 0.5472 0.1250 0.9222  2 Co 2.31, 2 Pt 2.58
6 Co 0.8750 0.7972 0.4222  2 Co 2.31, 2 Pt 2.58
7 Pt 0.2500 0.7500 0.5000  4 Co 2.58, 4 In 2.69
8 Pt 0.5000 0.5000 0.0000  4 Co 2.58, 4 In 2.69


An optimized crystal structure of KRb3O. Source: Alexandria, functional GGA-PBE.

## Properties
- Uncorrected formation energy: -0.566 eV/atom
- Volume: 518.79 Å³ per cell
- Symmetry: Cmc2_1
- Relative energy among the computed polymorphs: 9 meV per atom
- Density of states at the Fermi level: 4.55 states/eV/cell

Unit cell a=8.9175 b=8.9175 c=7.9459 alpha=90.00 beta=90.00 gamma=124.81
Closest atoms and distances in Å follow each position.
Fractional coordinates of all 10 atoms:
1 K 0.0915 0.9085 0.5000  1 O 2.58
2 K 0.9085 0.0915 0.0000  1 O 2.58
3 Rb 0.0387 0.4608 0.6643  2 O 2.93
4 Rb 0.4132 0.5868 0.3221  1 O 2.70
5 Rb 0.4608 0.0387 0.1643  2 O 2.93
6 Rb 0.5392 0.9613 0.6643  2 O 2.93
7 Rb 0.5868 0.4132 0.8221  1 O 2.70
8 Rb 0.9613 0.5392 0.1643  2 O 2.93
9 O 0.2487 0.7513 0.4151  1 K 2.58, 1 Rb 2.70
10 O 0.7513 0.2487 0.9151  1 K 2.58, 1 Rb 2.70